PBE NaPdAuSCl, relaxed; magnetization = 0.000 μB per atom; calculated volume = 22.1 Å³/atom; E_form (uncorrected) = -0.450 eV per atom
1.0
6.899 0.000 0.000
0.000 4.137 0.000
-1.047 0.000 7.736
Cl Au S Pd Na
2 2 2 2 2
direct
0.229 0.000 0.337
0.229 0.500 0.837
0.619 0.000 0.161
0.619 0.500 0.661
0.774 0.000 0.681
0.774 0.500 0.181
0.430 0.000 0.781
0.430 0.500 0.281
0.019 0.000 0.002
0.019 0.500 0.502